Record 1
Entry from Alexandria: an optimized crystal structure of TmCd3Hg3 (PBE).

Results
- excess energy over the best structure of this formula in the dataset (eV/atom) = 0.019
- calculated volume (Å³ per cell) = 343
- electronic total energy (eV per atom) = -1.271
- D(E_F) (states/eV/f.u.) = 3.26
- energy relative to the elements (eV/atom) = -0.1102

Unit cell a=6.969 b=6.969 c=7.066 alpha=90.00 beta=90.00 gamma=91.30
Element x y z (fractional)
Tm (0.275, 0.275, 0.000)
Tm (0.725, 0.725, 0.000)
Cd (0.234, 0.234, 0.500)
Cd (0.344, 0.656, 0.500)
Cd (0.656, 0.344, 0.500)
Cd (0.274, 0.726, 0.000)
Cd (0.726, 0.274, 0.000)
Cd (0.766, 0.766, 0.500)
Hg (0.000, 0.000, 0.770)
Hg (0.500, 0.000, 0.259)
Hg (0.000, 0.500, 0.259)
Hg (0.500, 0.000, 0.741)
Hg (0.000, 0.500, 0.741)
Hg (0.000, 0.000, 0.230)

---

Record 2
Entry from Alexandria: an optimized crystal structure of LiCo2As2 (PBE).

Results
- calculated volume (Å³ per cell) = 139
- electronic total energy (eV per atom) = -5.311
- D(E_F) (states/eV/f.u.) = 3.83
- energy relative to the elements (eV/atom) = -0.2258

Unit cell a=3.990 b=6.132 c=6.678 alpha=71.33 beta=70.79 gamma=67.18
Element x y z (fractional)
Li (0.751, 0.755, 0.247)
Li (0.249, 0.245, 0.753)
Co (0.361, 0.400, 0.325)
Co (0.873, 0.896, 0.821)
Co (0.127, 0.104, 0.179)
Co (0.639, 0.600, 0.675)
As (0.369, 0.749, 0.996)
As (0.862, 0.249, 0.500)
As (0.631, 0.251, 0.004)
As (0.138, 0.751, 0.500)

---

Record 3
Entry from Alexandria: an optimized crystal structure of Cs2Pa2CuSe6 (PBE).

Results
- calculated volume (Å³ per cell) = 398
- electronic total energy (eV per atom) = -5.329
- formation energy (no corrections) (eV/atom) = -1.175
- D(E_F) (states/eV/f.u.) = 8.30

Unit cell a=7.572 b=7.572 c=8.820 alpha=96.37 beta=96.37 gamma=125.74
Last column: magnetic moment on the atom in μB.
Element x y z (fractional)
Cs (0.853, 0.147, 0.000)  0.00
Cs (0.147, 0.853, 0.000)  0.00
Pa (0.338, 0.662, 0.500)  0.59
Pa (0.662, 0.338, 0.500)  0.59
Cu (0.000, 0.000, 0.500)  -0.01
Se (0.753, 0.753, 0.649)  -0.02
Se (0.047, 0.434, 0.691)  -0.02
Se (0.247, 0.247, 0.351)  -0.02
Se (0.434, 0.047, 0.691)  -0.02
Se (0.953, 0.566, 0.309)  -0.02
Se (0.566, 0.953, 0.309)  -0.02

---

Record 4
Entry from Alexandria: an optimized crystal structure of Nd7Sm4Ho (PBE).

Results
- excess energy over the best structure of this formula in the dataset (eV/atom) = 0.203
- calculated volume (Å³ per cell) = 421
- electronic total energy (eV per atom) = -4.523
- D(E_F) (states/eV/f.u.) = 19.09
- energy relative to the elements (eV/atom) = 0.2128

Unit cell a=6.069 b=9.873 c=8.740 alpha=60.47 beta=69.68 gamma=72.10
Last column: magnetic moment on the atom in μB.
Element x y z (fractional)
Nd (0.791, 0.876, 0.541)  0.00
Nd (0.209, 0.124, 0.459)  0.00
Nd (0.082, 0.562, 0.275)  0.01
Nd (0.918, 0.438, 0.725)  0.01
Nd (0.208, 0.775, 0.810)  0.01
Nd (0.500, 0.000, 0.000)  0.14
Nd (0.792, 0.225, 0.190)  0.01
Sm (0.573, 0.301, 0.552)  0.01
Sm (0.427, 0.699, 0.448)  0.01
Sm (0.673, 0.611, 0.043)  0.01
Sm (0.327, 0.389, 0.957)  0.01
Ho (0.000, 0.000, 0.000)  0.19